The following is a PBE-GGA calculation of a relaxed RbPmF2 crystal, from Alexandria via LeMat-Bulk.

Cell: 4.1348 4.1348 7.8014 Å, 74.63 74.63 60.00°
Element x y z (fractional)
F 0.1448 0.1448 0.5655
F 0.8552 0.8552 0.4345
Rb 0.0000 0.0000 0.0000
Pm 0.5000 0.5000 0.5000

Results
Total magnetization: 0.000 μB/atom
E_tot: -4.880 eV/atom
DOS at the Fermi energy: 2.27 states/eV/f.u.
Energy relative to the elements, uncorrected: -10.1 eV/f.u.

The following is a PBE-GGA calculation of a relaxed Mg12H5Pb3 crystal, from Alexandria via LeMat-Bulk.

Cell: 12.6087 12.6087 12.6087 Å, 109.47 109.47 109.47°
Element x y z (fractional)
Pb 0.7500 0.3750 0.1250
Pb 0.8750 0.7500 0.1250
Pb 0.3750 0.7500 0.6250
Pb 0.2500 0.1250 0.3750
Pb 0.8750 0.1250 0.2500
Pb 0.3750 0.6250 0.2500
Pb 0.6250 0.3750 0.7500
Pb 0.1250 0.8750 0.7500
Pb 0.7500 0.8750 0.6250
Pb 0.6250 0.2500 0.3750
Pb 0.1250 0.2500 0.8750
Pb 0.2500 0.6250 0.8750
H 0.1250 0.3750 0.2500
H 0.0000 0.5000 0.0000
H 0.0000 0.0000 0.0000
H 0.3750 0.2500 0.1250
H 0.5000 0.0000 0.5000
H 0.5000 0.5000 0.0000
H 0.1250 0.7500 0.3750
H 0.7500 0.1250 0.8750
H 0.7500 0.6250 0.3750
H 0.3750 0.1250 0.7500
H 0.6250 0.8750 0.2500
H 0.5000 0.5000 0.5000
H 0.5000 0.0000 0.0000
H 0.0000 0.0000 0.5000
H 0.2500 0.3750 0.6250
H 0.2500 0.8750 0.1250
H 0.0000 0.5000 0.5000
H 0.8750 0.2500 0.6250
H 0.6250 0.7500 0.8750
H 0.8750 0.6250 0.7500
Mg 0.6933 0.0986 0.0014
Mg 0.3081 0.5014 0.4028
Mg 0.9986 0.4014 0.3067
Mg 0.5014 0.1933 0.0986
Mg 0.5947 0.6933 0.6919
Mg 0.9986 0.5972 0.1919
Mg 0.3081 0.8067 0.4053
Mg 0.0972 0.9053 0.0986
Mg 0.5972 0.9986 0.6919
Mg 0.6933 0.5947 0.1919
Mg 0.8067 0.4986 0.4014
Mg 0.8081 0.9028 0.0014
Mg 0.0986 0.6933 0.5014
Mg 0.4014 0.4028 0.0947
Mg 0.0947 0.9028 0.4014
Mg 0.4053 0.0986 0.5972
Mg 0.0947 0.1919 0.1933
Mg 0.4986 0.6919 0.0972
Mg 0.8081 0.9053 0.3067
Mg 0.0986 0.4053 0.0972
Mg 0.4014 0.9986 0.8067
Mg 0.5972 0.5986 0.4053
Mg 0.9028 0.8081 0.5014
Mg 0.8067 0.3081 0.9053
Mg 0.4028 0.4014 0.5947
Mg 0.0972 0.1919 0.4986
Mg 0.1933 0.6919 0.0947
Mg 0.1919 0.0947 0.6933
Mg 0.5986 0.0014 0.1933
Mg 0.9014 0.5947 0.9028
Mg 0.5014 0.3081 0.9028
Mg 0.5947 0.9014 0.4028
Mg 0.9053 0.8081 0.8067
Mg 0.9053 0.0972 0.5986
Mg 0.9014 0.3067 0.4986
Mg 0.1919 0.0972 0.9986
Mg 0.5986 0.5972 0.9053
Mg 0.4028 0.0014 0.3081
Mg 0.3067 0.4053 0.8081
Mg 0.1933 0.5014 0.5986
Mg 0.9028 0.0947 0.9014
Mg 0.6919 0.1933 0.5947
Mg 0.4986 0.8067 0.9014
Mg 0.0014 0.4028 0.8081
Mg 0.4053 0.3067 0.3081
Mg 0.0014 0.5986 0.6933
Mg 0.6919 0.4986 0.5972
Mg 0.3067 0.9014 0.9986

Results
Total magnetization: 0.000 μB/atom
E_tot: -2.295 eV/atom
DOS at the Fermi energy: 6.37 states/eV/f.u.

The following is a PBE-GGA calculation of a relaxed InGeSb2 crystal, from Alexandria via LeMat-Bulk.

Cell: 4.0737 4.0737 7.8603 Å, 74.98 74.98 60.00°
Element x y z (fractional)
In 0.4995 0.4995 0.5014
Ge 0.6674 0.6674 0.9979
Sb 0.0754 0.0754 0.7738
Sb 0.2577 0.2577 0.2269

Results
Total magnetization: 0.000 μB/atom
E_tot: -3.786 eV/atom
DOS at the Fermi energy: 2.16 states/eV/f.u.
E above lowest polymorph: 24 meV per atom
Energy relative to the elements, uncorrected: 0.5 eV/f.u.